Material: IrOsPt2
Method: DFT, PBEsol
State: relaxed

electronic total energy	-71.28	eV/cell
total moment	0.00	μB/f.u.
formation energy from the elements	0.081	eV/atom
calculated volume	115.3	Å³/cell
energy above the lowest structure with this stoichiometry	86	meV/atom

a = 3.849 Å, b = 3.849 Å, c = 7.780 Å
α = 90.00°, β = 90.00°, γ = 90.00°
Element x y z (fractional)
Ir (0.000, 0.000, 0.000)
Ir (0.500, 0.500, 0.500)
Os (0.000, 0.500, 0.750)
Os (0.500, 0.000, 0.250)
Pt (0.000, 0.000, 0.500)
Pt (0.000, 0.500, 0.250)
Pt (0.500, 0.000, 0.750)
Pt (0.500, 0.500, 0.000)